{
  "formula": "In2POs",
  "functional": "GGA-PBE",
  "state": "optimized geometry",
  "vol_a3_per_cell": 81,
  "formation_enthalpy_0k_mev_per_atom": 136.9,
  "crystal_system": "trigonal",
  "lattice": [[9.565, 0.088, 0.052], [9.017, 3.194, 0.052], [9.017, 1.593, 2.769]],
  "species": ["In", "In", "P", "Os"],
  "frac_coords": [[0.238, 0.238, 0.238], [0.004, 0.004, 0.004], [0.770, 0.770, 0.770], [0.489, 0.489, 0.489]]
}

***

{
  "formula": "K2In2Cu",
  "functional": "GGA-PBE",
  "state": "optimized geometry",
  "vol_a3_per_cell": 317,
  "formation_enthalpy_0k_mev_per_atom": 85.9,
  "polymorph_energy_mev_per_atom": 0.0,
  "crystal_system": "tetragonal",
  "lattice": [[-2.808, -1.209, -6.497], [0.630, -7.076, 1.044], [-5.641, -0.139, 2.464]],
  "species": ["Cu", "Cu", "K", "K", "K", "K", "In", "In", "In", "In"],
  "frac_coords": [[0.500, 0.500, 0.000], [0.000, 0.000, 0.000], [0.320, 0.180, 0.500], [0.820, 0.320, 0.500], [0.680, 0.820, 0.500], [0.180, 0.680, 0.500], [0.351, 0.851, 0.000], [0.649, 0.149, 0.000], [0.851, 0.649, 0.000], [0.149, 0.351, 0.000]]
}

***

{
  "formula": "MgZrTi3",
  "functional": "GGA-PBE",
  "state": "optimized geometry",
  "vol_a3_per_cell": 116,
  "formation_enthalpy_0k_mev_per_atom": 1054.2,
  "polymorph_energy_mev_per_atom": 0.0,
  "crystal_system": "cubic",
  "lattice": [[-3.204, -2.043, -3.065], [1.552, -4.433, 1.332], [-3.341, -0.100, 3.559]],
  "species": ["Ti", "Ti", "Ti", "Mg", "Zr"],
  "frac_coords": [[0.500, 0.000, 0.000], [0.000, 0.000, 0.500], [0.000, 0.500, 0.000], [0.500, 0.500, 0.500], [0.000, 0.000, 0.000]]
}

***

- What is the formula in the first record?
  In2POs